No. 1
VASP calculation (meta-GGA SCAN) on a PBEsol-optimized structure of IrRu2Br.

Its uncorrected energy is -155.53 eV/f.u. The energy relative to the elements, uncorrected is 452 kJ/mol of formula units.

a = 2.779 Å, b = 4.594 Å, c = 4.643 Å
α = 90.00°, β = 90.00°, γ = 90.00°
Fractional positions:
Ir1 0.000 0.000 0.000
Ru1 0.000 0.500 0.500
Ru2 0.500 0.500 0.000
Br1 0.500 0.000 0.500

---

No. 2
VASP calculation (meta-GGA SCAN) on a PBEsol-optimized structure of IrRu2Br.

Its uncorrected energy is -156.92 eV/f.u. The energy relative to the elements, uncorrected is 317 kJ/mol of formula units.

a = 9.663 Å, b = 2.824 Å, c = 4.400 Å
α = 90.00°, β = 93.90°, γ = 90.00°
Fractional positions:
Ir1 0.000 0.000 0.000
Ir2 0.500 0.500 0.000
Ru1 0.055 0.500 0.536
Ru2 0.271 0.000 0.785
Ru3 0.555 0.000 0.536
Ru4 0.771 0.500 0.785
Br1 0.276 0.500 0.288
Br2 0.776 0.000 0.288

---

No. 3
VASP calculation (meta-GGA SCAN) on a PBEsol-optimized structure of IrRuSeBr2.

Its uncorrected energy is -159.98 eV/f.u. The energy relative to the elements, uncorrected is 477 kJ/mol of formula units.

a = 5.094 Å, b = 5.094 Å, c = 4.643 Å
α = 90.00°, β = 90.00°, γ = 90.00°
Fractional positions:
Ir1 0.000 0.000 0.000
Ru1 0.500 0.500 0.500
Se1 0.000 0.000 0.500
Br1 0.000 0.500 0.000
Br2 0.500 0.000 0.000

---

No. 4
VASP calculation (meta-GGA SCAN) on a PBEsol-optimized structure of IrS2Br.

Its uncorrected energy is -111.16 eV/f.u. The energy relative to the elements, uncorrected is -129 kJ/mol of formula units.

a = 3.637 Å, b = 3.637 Å, c = 21.219 Å
α = 90.00°, β = 90.00°, γ = 120.00°
Fractional positions:
Ir1 0.000 0.000 0.000
Ir2 0.333 0.667 0.667
Ir3 0.667 0.333 0.333
S1 0.000 0.000 0.385
S2 0.000 0.000 0.615
S3 0.333 0.667 0.051
S4 0.333 0.667 0.282
S5 0.667 0.333 0.718
S6 0.667 0.333 0.949
Br1 0.000 0.000 0.500
Br2 0.333 0.667 0.167
Br3 0.667 0.333 0.833

---

No. 5
VASP calculation (meta-GGA SCAN) on a PBEsol-optimized structure of SbIrBr3.

Its uncorrected energy is -161.86 eV/f.u. The energy relative to the elements, uncorrected is 471 kJ/mol of formula units.

a = 5.472 Å, b = 5.472 Å, c = 5.472 Å
α = 90.00°, β = 90.00°, γ = 90.00°
Fractional positions:
Sb1 0.000 0.000 0.000
Ir1 0.500 0.500 0.500
Br1 0.000 0.000 0.500
Br2 0.000 0.500 0.000
Br3 0.500 0.000 0.000

---

No. 6
VASP calculation (meta-GGA SCAN) on a PBEsol-optimized structure of Sb2IrBr.

Its uncorrected energy is -165.26 eV/f.u. The energy relative to the elements, uncorrected is -17 kJ/mol of formula units.

a = 16.962 Å, b = 3.718 Å, c = 3.182 Å
α = 90.00°, β = 100.73°, γ = 90.00°
Fractional positions:
Sb1 0.000 0.000 0.000
Sb2 0.185 0.000 0.683
Sb3 0.500 0.500 0.000
Sb4 0.685 0.500 0.683
Ir1 0.068 0.500 0.567
Ir2 0.568 0.000 0.567
Br1 0.343 0.500 0.844
Br2 0.843 0.000 0.844

---

No. 7
VASP calculation (meta-GGA SCAN) on a PBEsol-optimized structure of SbIr3Br.

Its uncorrected energy is -260.04 eV/f.u. The energy relative to the elements, uncorrected is 963 kJ/mol of formula units.

a = 4.863 Å, b = 4.863 Å, c = 4.863 Å
α = 90.00°, β = 90.00°, γ = 90.00°
Fractional positions:
Sb1 0.000 0.000 0.000
Ir1 0.000 0.000 0.500
Ir2 0.000 0.500 0.000
Ir3 0.500 0.000 0.000
Br1 0.500 0.500 0.500

---

No. 8
VASP calculation (meta-GGA SCAN) on a PBEsol-optimized structure of Sb2IrBr.

Its uncorrected energy is -161.78 eV/f.u. The energy relative to the elements, uncorrected is 318 kJ/mol of formula units.

a = 3.220 Å, b = 4.792 Å, c = 5.475 Å
α = 90.00°, β = 90.00°, γ = 90.00°
Fractional positions:
Sb1 0.000 0.000 0.000
Sb2 0.500 0.000 0.500
Ir1 0.000 0.500 0.500
Br1 0.500 0.500 0.000

---

No. 9
VASP calculation (meta-GGA SCAN) on a PBEsol-optimized structure of Sb2IrBr.

Its uncorrected energy is -162.59 eV/f.u. The energy relative to the elements, uncorrected is 240 kJ/mol of formula units.

a = 5.120 Å, b = 5.120 Å, c = 3.129 Å
α = 90.00°, β = 90.00°, γ = 90.00°
Fractional positions:
Sb1 0.000 0.500 0.000
Sb2 0.500 0.000 0.000
Ir1 0.000 0.000 0.500
Br1 0.500 0.500 0.500

---

No. 10
VASP calculation (meta-GGA SCAN) on a PBEsol-optimized structure of Sb2IrBr.

Its uncorrected energy is -162.99 eV/f.u. The energy relative to the elements, uncorrected is 202 kJ/mol of formula units.

a = 4.828 Å, b = 4.828 Å, c = 6.955 Å
α = 90.00°, β = 90.00°, γ = 90.00°
Fractional positions:
Sb1 0.000 0.500 0.250
Sb2 0.000 0.500 0.750
Sb3 0.500 0.000 0.250
Sb4 0.500 0.000 0.750
Ir1 0.000 0.000 0.000
Ir2 0.500 0.500 0.500
Br1 0.000 0.000 0.500
Br2 0.500 0.500 0.000

---

No. 11
VASP calculation (meta-GGA SCAN) on a PBEsol-optimized structure of SbTe2IrBr.

Its uncorrected energy is -192.71 eV/f.u. The energy relative to the elements, uncorrected is 927 kJ/mol of formula units.

a = 5.234 Å, b = 5.234 Å, c = 5.353 Å
α = 90.00°, β = 90.00°, γ = 90.00°
Fractional positions:
Sb1 0.000 0.000 0.000
Te1 0.000 0.500 0.500
Te2 0.500 0.000 0.500
Ir1 0.500 0.500 0.000
Br1 0.000 0.000 0.500

---

No. 12
VASP calculation (meta-GGA SCAN) on a PBEsol-optimized structure of ScIrBr2.

Its uncorrected energy is -123.77 eV/f.u. The energy relative to the elements, uncorrected is 46 kJ/mol of formula units.

a = 3.213 Å, b = 3.213 Å, c = 27.279 Å
α = 90.00°, β = 90.00°, γ = 120.00°
Fractional positions:
Sc1 0.000 0.000 0.000
Sc2 0.333 0.667 0.667
Sc3 0.667 0.333 0.333
Ir1 0.000 0.000 0.500
Ir2 0.333 0.667 0.167
Ir3 0.667 0.333 0.833
Br1 0.000 0.000 0.265
Br2 0.000 0.000 0.735
Br3 0.333 0.667 0.401
Br4 0.333 0.667 0.932
Br5 0.667 0.333 0.068
Br6 0.667 0.333 0.599